## LiPtPb2 (PBE-GGA)

Data for a relaxed LiPtPb2 crystal.

The structure in CIF format:
```
data_LiPtPb2
_symmetry_space_group_name_H-M 'R -3 m'
_symmetry_Int_Tables_number 166
_symmetry_space_group_name_Hall '-R 3 2"'
_cell_length_a 3.6107
_cell_length_b 3.6107
_cell_length_c 25.3798
_cell_angle_alpha 90.00
_cell_angle_beta 90.00
_cell_angle_gamma 120.00
loop_
_atom_site_label
_atom_site_type_symbol
_atom_site_fract_x
_atom_site_fract_y
_atom_site_fract_z
_atom_site_occupancy
Li1 Li 0.0000 0.0000 0.0000 1
Pt1 Pt 0.0000 0.0000 0.5000 1
Pb1 Pb 0.0000 0.0000 0.2421 1
```

* Fermi-level density of states: 0.379 states/eV/atom
* final energy: -3.986 eV per atom